# 1
VASP calculation (PBE) on a geometry-optimized La3SBr structure.

Calculated volume ... 33.92 A^3/atom
Total magnetic moment ... 0.00 μB per formula unit
E ... -0.18152 Ha/atom
Relative energy among the computed polymorphs ... 0 meV per atom

Cell lengths 5.5354, 5.5354, 5.5354 Å; angles 90.00, 90.00, 90.00 degrees
Last column: nearest neighbours and their distance in Å.
Space group Pm-3m (No. 221)
Asymmetric unit:
La (0.0000, 0.0000, 0.5000)  2 S 2.77
S (0.0000, 0.0000, 0.0000)  6 La 2.77
Br (0.5000, 0.5000, 0.5000)  12 La 3.91

# 2
VASP calculation (PBE) on a geometry-optimized LaS2Br2 structure.

Calculated volume ... 25.58 A^3/atom
Total magnetic moment ... 0.00 μB per formula unit
E ... -0.13598 Ha/atom

Cell lengths 7.6304, 7.6304, 4.3942 Å; angles 90.00, 90.00, 90.00 degrees
Last column: nearest neighbours and their distance in Å.
Space group P4/mbm (No. 127)
Asymmetric unit:
La (0.0000, 0.0000, 0.0000)  4 Br 2.96
S (0.1981, 0.3019, 0.5000)  2 Br 2.83
Br (0.1372, 0.6372, 0.0000)  2 S 2.83, 2 La 2.96, 1 Br 2.96

# 3
VASP calculation (PBE) on a geometry-optimized La6SBr8 structure.

Calculated volume ... 34.53 A^3/atom
Total magnetic moment ... 0.00 μB per formula unit
E ... -0.17909 Ha/atom

Cell lengths 7.4663, 7.4663, 32.1842 Å; angles 90.00, 90.00, 120.00 degrees
Last column: nearest neighbours and their distance in Å.
Space group R-3 (No. 148, hexagonal axes)
Asymmetric unit:
La (0.0000, 0.3069, 0.0503)  1 S 2.81, 4 Br 3.05-3.06
S (0.0000, 0.0000, 0.0000)  6 La 2.81
Br (0.0000, 0.0000, 0.3333)  6 La 3.06
Br (0.0000, 0.3445, 0.8930)  3 La 3.05-3.18

Look up the calculated volume of the third one.
34.53 A^3/atom